NdNp2Tl3Te6: optimized geometry, PBE.

total moment: 8.00 Bohr magnetons per cell
volume: 36.17 Å³ per atom
total energy: -65.330 eV for the cell shown

a b c (Å): 7.8245 7.8245 8.5902
angles (deg): 98.73 98.73 119.99
With the nearest neighbours (Å) after each atom.
Positions (direct):
Nd1 0.0000 0.0000 0.0000  6 Te 3.19
Np1 0.3330 0.6670 0.0000  6 Te 3.13-3.14
Np2 0.6670 0.3330 0.0000  6 Te 3.13-3.14
Tl1 0.1650 0.8350 0.5000  6 Te 3.47-3.51
Tl2 0.5000 0.5000 0.5000  6 Te 3.46-3.50
Tl3 0.8350 0.1650 0.5000  6 Te 3.47-3.51
Te1 0.0726 0.4114 0.2172  2 Np 3.14, 1 Nd 3.19, 3 Tl 3.47-3.51
Te2 0.2674 0.2674 0.7844  2 Np 3.13, 1 Nd 3.19, 3 Tl 3.46-3.50
Te3 0.4114 0.0726 0.2172  2 Np 3.14, 1 Nd 3.19, 3 Tl 3.47-3.51
Te4 0.5886 0.9274 0.7828  2 Np 3.14, 1 Nd 3.19, 3 Tl 3.47-3.51
Te5 0.7326 0.7326 0.2156  2 Np 3.13, 1 Nd 3.19, 3 Tl 3.46-3.50
Te6 0.9274 0.5886 0.7828  2 Np 3.14, 1 Nd 3.19, 3 Tl 3.47-3.51